## SrMnRe2O8 (GGA+U)

Data for SrMnRe2O8 after structural relaxation.

a = 5.8571 Å, b = 5.8571 Å, c = 6.9727 Å
α = 90.00°, β = 90.00°, γ = 120.00°
With the nearest neighbours (Å) after each atom.
Fractional positions:
O  0.8383  0.1606  0.2947  1 Re 1.81
O  0.1617  0.8394  0.7053  1 Re 1.81
O  0.8394  0.6776  0.2947  1 Re 1.81
O  0.1606  0.3224  0.7053  1 Re 1.81
O  0.6776  0.8383  0.7053  1 Re 1.81
O  0.6667  0.3333  0.9691  1 Re 1.78
O  0.3224  0.1617  0.2947  1 Re 1.81
O  0.3333  0.6667  0.0309  1 Re 1.78
Mn  0.0000  0.0000  0.5000  6 O 2.17
Re  0.6667  0.3333  0.2248  4 O 1.78-1.81
Re  0.3333  0.6667  0.7752  4 O 1.78-1.81
Sr  0.0000  0.0000  0.0000  6 O 2.63

DOS(E_F) (states/eV/atom): 0.82
VASP energy (eV per cell): -94.8
Mass density (g cm⁻³): 5.2